# HfAgIO6 | the Alexandria database | GGA-PBE | optimized geometry
data_HfAgIO6
_chemical_formula_sum 'Hf2 Ag2 I2 O12'
_space_group_name_H-M_alt 'P -3 1 c'
_space_group_IT_number 163
_space_group_name_Hall '-P 3 2c'
_cell_length_a 5.4189
_cell_length_b 5.4189
_cell_length_c 10.2861
_cell_angle_alpha 90.00
_cell_angle_beta 90.00
_cell_angle_gamma 120.00
loop_
_atom_site_label
_atom_site_type_symbol
_atom_site_fract_x
_atom_site_fract_y
_atom_site_fract_z
Hf1 Hf 0.3333 0.6667 0.2500
Ag1 Ag 0.0000 0.0000 0.0000
I1 I 0.3333 0.6667 0.7500
O1 O 0.0256 0.3910 0.6451
# VASP energy (eV/cell): -110.630
# Formation energy without anion corrections (eV per atom): -1.25